Compound: MgGaBi
Source: Alexandria via LeMat-Bulk
Functional: PBE-GGA
Structure: optimized geometry

```
MgGaBi
1.0
4.884 0.000 0.000
2.442 4.230 0.000
2.442 1.410 3.988
Mg Bi Ga
1 1 1
Direct
0.250 0.250 0.250 Mg
0.500 0.500 0.500 Bi
0.000 0.000 0.000 Ga
```

Properties
- SG = F-43m
- E_tot (eV per cell) = -8.7
- formation enthalpy at 0 K (meV/atom) = -53